Crystalline Nd5Co2O12 at its relaxed geometry. Source: the Alexandria database, functional PBE with a Hubbard U.

As for the energy: -280.787 eV for the cell shown. The value obtained for the density of states at the Fermi level is 0.258 states/eV/atom. The magnetic moment comes out at 6.0 μB/cell.

The space group is C2/m (No. 12) and the conventional cell measures 12.622, 5.905 and 7.531 Å, with angles of 90.00, 107.14 and 90.00 degrees. The distinct sites, in fractional coordinates, are Nd at (0.000, 0.000, 0.000), Nd at (0.191, 0.500, 0.854), Nd at (0.193, 0.500, 0.338), Co at (0.000, 0.243, 0.500), O at (0.001, 0.000, 0.664), O at (0.001, 0.500, 0.335), O at (0.154, 0.249, 0.079) and O at (0.154, 0.256, 0.575).